(1)
BaSi2Cl | PBE-GGA | relaxed

abc: 6.975 6.975 4.964
angles: 86.45 86.45 32.80
Positions (direct):
Ba1 0.750 0.750 0.750
Cl1 0.250 0.250 0.250
Si1 0.034 0.034 0.813
Si2 0.466 0.466 0.687

Values from the calculation:
Calculated density ... 2.91 g cm⁻³
Polymorph energy (0 for the lowest one) ... 151 meV per atom
Magnetization ... 0.0 μB per formula unit
N(E_F) ... 0.36 states/eV per atom
Final energy ... -4.223 eV/atom


(2)
RbSi2Hg2 | PBE-GGA | relaxed

abc: 4.868 4.868 6.304
angles: 67.29 67.29 90.00
Positions (direct):
Si1 0.388 0.388 0.223
Si2 0.612 0.612 0.777
Hg1 0.750 0.250 0.500
Hg2 0.250 0.750 0.500
Rb1 0.000 0.000 0.000

Values from the calculation:
Calculated density ... 7.20 g cm⁻³
Polymorph energy (0 for the lowest one) ... 0 meV per atom
Magnetization ... 0.0 μB per formula unit
N(E_F) ... 0.33 states/eV per atom
Final energy ... -2.357 eV/atom


Number 1: ΔE_f (raw) -2.3 eV/f.u.. Number 2: ΔE_f (raw) 0.6 eV/f.u..